# B2Te5Pd12 (PBE-GGA, optimized geometry)
data_B2Te5Pd12
_space_group_name_H-M_alt 'C 1 2/m 1'
_space_group_IT_number 12
_space_group_name_Hall '-C 2y'
_cell_length_a 13.8900
_cell_length_b 6.1556
_cell_length_c 8.4651
_cell_angle_alpha 90.00
_cell_angle_beta 92.33
_cell_angle_gamma 90.00
loop_
_atom_site_label
_atom_site_fract_x
_atom_site_fract_y
_atom_site_fract_z
B1 0.0000 0.2454 0.0000
Te1 0.0000 0.0000 0.5000
Te2 0.1801 0.5000 0.6460
Te3 0.2224 0.5000 0.1788
Pd1 0.0237 0.0000 0.1723
Pd2 0.0252 0.5000 0.1711
Pd3 0.1437 0.2588 0.9378
Pd4 0.1495 0.2364 0.3972
# Energy relative to the elements, uncorrected = -0.219 eV/atom
# Density = 8.9 Mg/m³
# DOS(E_F) = 19.2 states/eV/cell